Entry from Alexandria: crystalline CdAs2PF at its relaxed geometry (PBE-GGA).

Values from the calculation:
Formation energy from raw total energies, meV/atom: 357
Magnetization, μB/f.u.: 0.000

Lattice parameters (Å, degrees): 4.609 4.651 4.609 90.00 90.00 90.00
Element x y z (fractional)
P (0.500, 0.500, 0.500)
As (0.000, 0.000, 0.500)
As (0.500, 0.000, 0.000)
F (0.000, 0.000, 0.000)
Cd (0.000, 0.500, 0.000)